Record 1
First-principles (PBE) data for a relaxed structure of TiSb2PI, as listed in the Alexandria database.

Energy relative to the elements, uncorrected: 3.05 eV/f.u.
Magnetic moment: 1.57 Bohr magnetons per cell
Fermi-level density of states: 4.2 states/eV/cell
Calculated volume: 30.0 Å³ per atom
E: -4.010 eV/atom

Lattice parameters (Å, degrees): 5.369 5.369 5.210 90.00 90.00 90.00
Space group P4/mmm (No. 123)
Asymmetric unit:
1 Ti 0.000 0.000 0.000
2 Sb 0.000 0.500 0.000
3 P 0.500 0.500 0.500
4 I 0.000 0.000 0.500

Record 2
First-principles (PBE) data for a relaxed structure of TaTeP2, as listed in the Alexandria database.

Energy relative to the elements, uncorrected: -0.70 eV/f.u.
Magnetic moment: 0.00 Bohr magnetons per cell
Fermi-level density of states: 1.5 states/eV/cell
Calculated volume: 18.3 Å³ per atom
E: -6.629 eV/atom

Lattice parameters (Å, degrees): 3.297 3.297 6.723 90.00 90.00 90.00
Space group P4/mmm (No. 123)
Asymmetric unit:
1 Ta 0.000 0.000 0.000
2 Te 0.000 0.000 0.500
3 P 0.500 0.500 0.182

Record 3
First-principles (PBE) data for a relaxed structure of SiTe2As, as listed in the Alexandria database.

Energy relative to the elements, uncorrected: 1.44 eV/f.u.
Magnetic moment: 0.00 Bohr magnetons per cell
Fermi-level density of states: 4.7 states/eV/cell
Calculated volume: 28.3 Å³ per atom
E: -3.729 eV/atom

Lattice parameters (Å, degrees): 3.8594 3.8594 26.3626 90.00 90.00 120.00
Space group R-3m (No. 166, hexagonal axes)
Asymmetric unit:
1 Si 0.0000 0.0000 0.0000
2 Te 0.0000 0.0000 0.3952
3 As 0.0000 0.0000 0.5000